# SiNiS3

A relaxed SiNiS3 crystal (PBE, Alexandria via LeMat-Bulk).

abc: 4.421 4.421 4.421
angles: 90.00 90.00 90.00
Fractional positions:
Si: 0.000 0.000 0.000
Ni: 0.500 0.500 0.500
S: 0.000 0.500 0.500
S: 0.500 0.000 0.500
S: 0.500 0.500 0.000

Computed properties:
Space-group type ... Pm-3m
VASP energy ... -4.193 eV per atom
Energy relative to the elements, uncorrected ... 0.525 eV per atom
ΔE to the lowest computed polymorph ... 0 meV per atom